ZrGaF3 | PBEsol | relaxed

Lattice parameters (Å, degrees): 4.2939 4.2939 4.2939 90.00 90.00 90.00
Last column: nearest neighbours and their distance in Å.
Sites, in units of the cell vectors:
Ga  0.5000  0.5000  0.5000  12 F 3.04
Zr  0.0000  0.0000  0.0000  6 F 2.15
F  0.0000  0.5000  0.0000  2 Zr 2.15
F  0.0000  0.0000  0.5000  2 Zr 2.15
F  0.5000  0.0000  0.0000  2 Zr 2.15

Computed properties:
* space group: Pm-3m, No. 221
* E: -29.15 eV per cell
* spin magnetization: 1.4 μB per formula unit
* formation energy from raw total energies: -2.19 eV per atom

***

K3GdF6 | PBEsol | relaxed

Lattice parameters (Å, degrees): 6.3146 6.5759 9.0034 90.00 91.34 90.00
Last column: nearest neighbours and their distance in Å.
Sites, in units of the cell vectors:
K  0.5196  0.0543  0.2417  5 F 2.62-2.84
K  0.9804  0.5543  0.2583  5 F 2.62-2.84
K  0.4804  0.9457  0.7583  5 F 2.62-2.84
K  0.0196  0.4457  0.7417  5 F 2.62-2.84
K  0.0000  0.0000  0.5000  6 F 2.55-2.64
K  0.5000  0.5000  0.0000  6 F 2.55-2.64
Gd  0.5000  0.5000  0.5000  6 F 2.20-2.22
Gd  0.0000  0.0000  0.0000  6 F 2.20-2.22
F  0.8759  0.0674  0.7733  1 Gd 2.21
F  0.6241  0.5674  0.7267  1 Gd 2.21
F  0.1241  0.9326  0.2267  1 Gd 2.21
F  0.3759  0.4326  0.2733  1 Gd 2.21
F  0.8262  0.2709  0.0795  1 Gd 2.22
F  0.6738  0.7709  0.4205  1 Gd 2.22
F  0.1738  0.7291  0.9205  1 Gd 2.22
F  0.3262  0.2291  0.5795  1 Gd 2.22
F  0.2166  0.6795  0.5522  1 Gd 2.20
F  0.2834  0.1795  0.9478  1 Gd 2.20
F  0.7834  0.3205  0.4478  1 Gd 2.20
F  0.7166  0.8205  0.0522  1 Gd 2.20

Computed properties:
* space group: P2_1/c, No. 14
* E: -124.92 eV per cell
* spin magnetization: 7.0 μB per formula unit
* formation energy from raw total energies: -3.30 eV per atom

***

Na2Gd2MgSi4O12F2 | PBEsol | relaxed

Lattice parameters (Å, degrees): 5.1659 7.4988 14.3700 90.00 90.14 90.00
Last column: nearest neighbours and their distance in Å.
Sites, in units of the cell vectors:
Na  0.5009  0.5402  0.2114  1 F 2.31, 4 O 2.39-2.53
Na  0.4991  0.4598  0.7886  1 F 2.31, 4 O 2.39-2.53
Na  0.5009  0.9598  0.7114  1 F 2.31, 4 O 2.39-2.53
Na  0.4991  0.0402  0.2886  1 F 2.31, 4 O 2.39-2.53
Gd  0.5142  0.7707  0.9574  5 O 2.26-2.37, 2 F 2.46-2.47
Gd  0.5142  0.7293  0.4574  5 O 2.26-2.37, 2 F 2.46-2.47
Gd  0.4858  0.2293  0.0426  5 O 2.26-2.37, 2 F 2.46-2.47
Gd  0.4858  0.2707  0.5426  5 O 2.26-2.37, 2 F 2.46-2.47
Mg  0.0000  0.5000  0.0000  2 F 1.98, 4 O 2.07-2.08
Mg  0.0000  0.0000  0.5000  2 F 1.98, 4 O 2.07-2.08
Si  0.0245  0.7410  0.3144  4 O 1.61-1.68
Si  0.9755  0.2410  0.1856  4 O 1.61-1.68
Si  0.9634  0.3718  0.3860  4 O 1.62-1.67
Si  0.0366  0.6282  0.6140  4 O 1.62-1.67
Si  0.9634  0.1282  0.8860  4 O 1.62-1.67
Si  0.0366  0.8718  0.1140  4 O 1.62-1.67
Si  0.9755  0.2590  0.6856  4 O 1.61-1.68
Si  0.0245  0.7590  0.8144  4 O 1.61-1.68
O  0.8595  0.7378  0.0528  1 Si 1.62
O  0.1436  0.5413  0.3468  2 Si 1.67-1.68
O  0.1405  0.2622  0.9472  1 Si 1.62
O  0.2877  0.9449  0.0573  1 Si 1.63
O  0.8595  0.7622  0.5528  1 Si 1.62
O  0.1470  0.7722  0.2095  2 Si 1.65-1.66
O  0.2877  0.5551  0.5573  1 Si 1.63
O  0.1687  0.8758  0.3859  1 Si 1.62
O  0.8564  0.4587  0.6532  2 Si 1.67-1.68
O  0.7123  0.0551  0.9427  1 Si 1.63
O  0.8313  0.1242  0.6141  1 Si 1.62
O  0.1687  0.6242  0.8859  1 Si 1.62
O  0.1436  0.9587  0.8468  2 Si 1.67-1.68
O  0.8564  0.0413  0.1532  2 Si 1.67-1.68
O  0.1470  0.7278  0.7095  2 Si 1.65-1.66
O  0.7128  0.7427  0.3145  1 Si 1.61
O  0.8313  0.3758  0.1141  1 Si 1.62
O  0.7123  0.4449  0.4427  1 Si 1.63
O  0.8530  0.2722  0.2905  2 Si 1.65-1.66
O  0.2872  0.2427  0.1855  1 Si 1.61
O  0.7128  0.7573  0.8145  1 Si 1.61
O  0.8530  0.2278  0.7905  2 Si 1.65-1.66
O  0.2872  0.2573  0.6855  1 Si 1.61
O  0.1405  0.2378  0.4472  1 Si 1.62
F  0.6618  0.4599  0.9384  1 Mg 1.98
F  0.3382  0.5401  0.0616  1 Mg 1.98
F  0.3382  0.9599  0.5616  1 Mg 1.98
F  0.6618  0.0401  0.4384  1 Mg 1.98

Computed properties:
* space group: P2_1/c, No. 14
* E: -385.48 eV per cell
* spin magnetization: 13.9 μB per formula unit
* formation energy from raw total energies: -3.02 eV per atom

***

NaGdF4 | PBEsol | relaxed

Lattice parameters (Å, degrees): 6.0122 6.9772 6.9846 61.73 64.57 64.54
Last column: nearest neighbours and their distance in Å.
Sites, in units of the cell vectors:
Na  0.6647  0.4849  0.1668  6 F 2.25-2.46
Na  0.6650  0.0053  0.6784  6 F 2.25-2.38
Na  0.3298  0.4305  0.9048  9 F 2.34-2.59
Gd  0.0026  0.0033  0.9943  9 F 2.31-2.39
Gd  0.9977  0.5028  0.4996  9 F 2.31-2.41
Gd  0.3357  0.9250  0.4056  9 F 2.32-2.39
F  0.3603  0.5481  0.4986  2 Gd 2.33-2.34, 2 Na 2.35-2.50, 1 F 2.60
F  0.3630  0.0110  0.0310  2 Gd 2.31-2.34, 2 Na 2.36-2.57
F  0.5937  0.7099  0.6520  2 Gd 2.31-2.34, 2 Na 2.38-2.54
F  0.5960  0.1665  0.1926  2 Gd 2.32, 2 Na 2.34-2.59
F  0.0513  0.8239  0.7675  2 Gd 2.31-2.33, 2 Na 2.31-2.49
F  0.0415  0.2825  0.3133  2 Gd 2.32-2.33, 2 Na 2.46-2.59
F  0.2537  0.6306  0.1271  2 Na 2.32-2.34, 2 Gd 2.33-2.34
F  0.2771  0.1345  0.6204  1 Na 2.25, 3 Gd 2.36-2.39
F  0.9795  0.3846  0.8779  2 Na 2.25-2.36, 2 Gd 2.33-2.34
F  0.9768  0.8915  0.3800  1 Na 2.33, 3 Gd 2.35-2.39, 1 F 2.60
F  0.7546  0.7393  0.2282  1 Na 2.32, 3 Gd 2.36-2.41
F  0.7569  0.2471  0.7411  2 Na 2.25-2.36, 2 Gd 2.32-2.33

Computed properties:
* space group: P1, No. 1
* E: -137.02 eV per cell
* spin magnetization: 2.3 μB per formula unit
* formation energy from raw total energies: -3.69 eV per atom

***

Na5Gd4Si4O16F | PBEsol | relaxed

Lattice parameters (Å, degrees): 5.4332 8.6822 8.6822 84.38 71.77 71.77
Last column: nearest neighbours and their distance in Å.
Sites, in units of the cell vectors:
Na  0.0773  0.3053  0.5161  5 O 2.36-2.64
Na  0.8986  0.6947  0.4839  5 O 2.36-2.64
Na  0.4067  0.5161  0.6947  5 O 2.36-2.64
Na  0.6175  0.4839  0.3053  5 O 2.36-2.64
Na  0.5000  0.0000  0.0000  8 O 2.55-2.85, 2 F 2.72
Gd  0.0917  0.7017  0.0669  7 O 2.28-2.52, 1 F 2.52
Gd  0.8603  0.2983  0.9331  7 O 2.28-2.52, 1 F 2.52
Gd  0.8413  0.0669  0.2983  7 O 2.28-2.52, 1 F 2.52
Gd  0.2066  0.9331  0.7017  7 O 2.28-2.52, 1 F 2.52
Si  0.2634  0.3511  0.1439  4 O 1.63-1.65
Si  0.7584  0.6489  0.8561  4 O 1.63-1.65
Si  0.5927  0.1439  0.6489  4 O 1.63-1.65
Si  0.3854  0.8561  0.3511  4 O 1.63-1.65
O  0.0915  0.4961  0.2783  1 Si 1.64
O  0.8660  0.5039  0.7217  1 Si 1.64
O  0.6301  0.2783  0.5039  1 Si 1.64
O  0.4123  0.7217  0.4961  1 Si 1.64
O  0.0852  0.2330  0.1360  1 Si 1.63
O  0.4542  0.7670  0.8640  1 Si 1.63
O  0.7788  0.1360  0.7670  1 Si 1.63
O  0.6818  0.8640  0.2330  1 Si 1.63
O  0.5503  0.2433  0.1757  1 Si 1.64
O  0.9693  0.7567  0.8243  1 Si 1.64
O  0.2740  0.1757  0.7567  1 Si 1.64
O  0.2065  0.8243  0.2433  1 Si 1.64
O  0.3640  0.4391  0.9678  1 Si 1.65
O  0.7708  0.5609  0.0322  1 Si 1.65
O  0.6682  0.9678  0.5609  1 Si 1.65
O  0.1969  0.0322  0.4391  1 Si 1.65
F  0.0000  0.0000  0.0000  4 Gd 2.52, 8 O 2.66-2.80, 2 Na 2.72

Computed properties:
* space group: I-4, No. 82
* E: -261.76 eV per cell
* spin magnetization: 27.9 μB per formula unit
* formation energy from raw total energies: -2.94 eV per atom

***

GdPtF7 | PBEsol | relaxed

Lattice parameters (Å, degrees): 5.4831 8.8887 11.0530 107.31 90.00 90.00
Last column: nearest neighbours and their distance in Å.
Sites, in units of the cell vectors:
Gd  0.7608  0.4230  0.2356  8 F 2.19-2.39
Gd  0.2608  0.0770  0.2644  8 F 2.19-2.39
Gd  0.2392  0.5770  0.7644  8 F 2.19-2.39
Gd  0.7392  0.9230  0.7356  8 F 2.19-2.39
Pt  0.7566  0.7703  0.0426  6 F 1.94-1.95
Pt  0.2566  0.7297  0.4574  6 F 1.94-1.95
Pt  0.2434  0.2297  0.9574  6 F 1.94-1.95
Pt  0.7434  0.2703  0.5426  6 F 1.94-1.95
F  0.4335  0.3806  0.0862  1 Pt 1.94
F  0.9335  0.1194  0.4138  1 Pt 1.94
F  0.5665  0.6194  0.9138  1 Pt 1.94
F  0.0665  0.8806  0.5862  1 Pt 1.94
F  0.4407  0.1812  0.4598  1 Pt 1.95
F  0.9407  0.3188  0.0402  1 Pt 1.95
F  0.5593  0.8188  0.5402  1 Pt 1.95
F  0.0593  0.6812  0.9598  1 Pt 1.95
F  0.7702  0.6215  0.1401  1 Pt 1.94
F  0.2702  0.8785  0.3599  1 Pt 1.94
F  0.2298  0.3785  0.8599  1 Pt 1.94
F  0.7298  0.1215  0.6401  1 Pt 1.94
F  0.7549  0.9244  0.9500  1 Pt 1.94
F  0.2549  0.5756  0.5500  1 Pt 1.94
F  0.2451  0.0756  0.0500  1 Pt 1.94
F  0.7451  0.4244  0.4500  1 Pt 1.94
F  0.9601  0.6422  0.3679  1 Pt 1.94
F  0.4601  0.8578  0.1321  1 Pt 1.94
F  0.0399  0.3578  0.6321  1 Pt 1.94
F  0.5399  0.1422  0.8679  1 Pt 1.94
F  0.0589  0.0807  0.8248  1 Pt 1.94
F  0.5589  0.4193  0.6752  1 Pt 1.94
F  0.9411  0.9193  0.1752  1 Pt 1.94
F  0.4411  0.5807  0.3248  1 Pt 1.94
F  0.4041  0.8030  0.7686  2 Gd 2.19-2.21
F  0.9041  0.6970  0.7314  2 Gd 2.19-2.21
F  0.5959  0.1970  0.2314  2 Gd 2.19-2.21
F  0.0959  0.3030  0.2686  2 Gd 2.19-2.21

Computed properties:
* space group: P2_1/c, No. 14
* E: -232.10 eV per cell
* spin magnetization: 7.0 μB per formula unit
* formation energy from raw total energies: -2.57 eV per atom